(1)
Here is a geometry-optimized HoMg2Ag structure from Alexandria via LeMat-Bulk. Energies are from PBE.

a b c (Å): 5.035 5.035 5.035
angles (deg): 120.81 120.81 88.59
Fractional positions:
1 Ho 0.000 0.000 0.000
2 Mg 0.500 0.500 0.000
3 Mg 0.750 0.250 0.500
4 Ag 0.250 0.750 0.500

Properties
- Crystal system: tetragonal
- Total DFT energy (no corrections): -11.313 eV/f.u.
- Energy of formation: -0.17 eV/atom

(2)
Here is a geometry-optimized FeTeAs2 structure from Alexandria via LeMat-Bulk. Energies are from PBE.

a b c (Å): 4.433 4.433 6.103
angles (deg): 109.66 109.66 46.95
Fractional positions:
1 Fe 0.000 0.000 0.000
2 Te 0.378 0.378 0.657
3 As 0.562 0.562 0.300
4 As 0.713 0.713 0.010

Properties
- Raw formation energy: 0.1021 eV per atom
- Crystal system: monoclinic
- Total DFT energy (no corrections): -20.495 eV/f.u.

(3)
Here is a geometry-optimized ZrPOs2S structure from Alexandria via LeMat-Bulk. Energies are from PBE.

a b c (Å): 4.300 4.300 4.855
angles (deg): 90.00 90.00 90.00
Fractional positions:
1 Zr 0.000 0.000 0.000
2 P 0.500 0.500 0.000
3 Os 0.000 0.500 0.500
4 Os 0.500 0.000 0.500
5 S 0.000 0.000 0.500

Properties
- Raw formation energy: 0.6114 eV per atom
- Crystal system: tetragonal
- Total DFT energy (no corrections): -37.488 eV/f.u.

(4)
Here is a geometry-optimized CsTi2BIr structure from Alexandria via LeMat-Bulk. Energies are from PBE.

a b c (Å): 5.053 5.053 4.206
angles (deg): 90.00 90.00 90.00
Fractional positions:
1 Cs 0.000 0.000 0.000
2 Ti 0.000 0.500 0.500
3 Ti 0.500 0.000 0.500
4 B 0.500 0.500 0.000
5 Ir 0.500 0.500 0.500

Properties
- Crystal system: tetragonal
- Total DFT energy (no corrections): -28.539 eV/f.u.
- Energy of formation: 0.73 eV/atom

(5)
Here is a geometry-optimized Ca3Pb4 structure from Alexandria via LeMat-Bulk. Energies are from PBE.

a b c (Å): 6.821 6.821 5.725
angles (deg): 90.00 90.00 120.00
Fractional positions:
1 Ca 0.000 0.500 0.000
2 Ca 0.500 0.000 0.000
3 Ca 0.500 0.500 0.000
4 Pb 0.000 0.000 0.247
5 Pb 0.000 0.000 0.753
6 Pb 0.333 0.667 0.500
7 Pb 0.667 0.333 0.500

Properties
- Energy above the most stable polymorph in this dataset: 272 meV per atom
- Crystal system: hexagonal
- Total DFT energy (no corrections): -22.002 eV/f.u.
- Energy of formation: -0.17 eV/atom

(6)
Here is a geometry-optimized LiTmMgCu structure from Alexandria via LeMat-Bulk. Energies are from PBE.

a b c (Å): 4.757 4.757 4.757
angles (deg): 60.00 60.00 60.00
Fractional positions:
1 Li 0.000 0.000 0.000
2 Tm 0.250 0.250 0.250
3 Mg 0.750 0.750 0.750
4 Cu 0.500 0.500 0.500

Properties
- Crystal system: cubic
- Total DFT energy (no corrections): -12.408 eV/f.u.
- Energy of formation: -0.08 eV/atom

Please write out number 1 again, unchanged.
Here is a geometry-optimized HoMg2Ag structure from Alexandria via LeMat-Bulk. Energies are from PBE.

a b c (Å): 5.035 5.035 5.035
angles (deg): 120.81 120.81 88.59
Fractional positions:
1 Ho 0.000 0.000 0.000
2 Mg 0.500 0.500 0.000
3 Mg 0.750 0.250 0.500
4 Ag 0.250 0.750 0.500

Properties
- Crystal system: tetragonal
- Total DFT energy (no corrections): -11.313 eV/f.u.
- Energy of formation: -0.17 eV/atom